# 1
Compound: BaMgIr2O8
Source: the Alexandria database
Functional: PBE
Structure: optimized geometry

Computed properties:
Total energy = -6.2188 eV/atom
Crystal system = trigonal

abc: 5.4980 5.4980 7.6043
angles: 90.00 90.00 120.00
Positions (direct):
O  0.2603  0.9515  0.6775
O  0.6667  0.3333  0.0408
O  0.3333  0.6667  0.9592
O  0.9515  0.6912  0.3225
O  0.7397  0.0485  0.3225
O  0.6912  0.7397  0.6775
O  0.3088  0.2603  0.3225
O  0.0485  0.3088  0.6775
Ir  0.3333  0.6667  0.7153
Ir  0.6667  0.3333  0.2847
Ba  0.0000  0.0000  0.0000
Mg  0.0000  0.0000  0.5000

# 2
Compound: KNbCd
Source: the Alexandria database
Functional: PBE
Structure: optimized geometry

Computed properties:
Total energy = -3.5637 eV/atom
Crystal system = triclinic

abc: 3.0580 6.7735 9.0681
angles: 109.74 85.90 100.22
Positions (direct):
Cd  0.6136  0.5640  0.6790
Cd  0.8790  0.3409  0.8974
K  0.1968  0.3621  0.2678
K  0.1112  0.9833  0.5146
Nb  0.2313  0.9426  0.9008
Nb  0.5026  0.7661  0.0509